Computed, not measured: a relaxed La6GaSe2Br3 crystal at the GGA-PBE level of DFT.

Cell: 7.5409 13.0824 7.6752 Å, 90.00 109.18 90.00°
Space group C2/m (No. 12)
Unique sites:
La1 0.2412 0.1659 0.2236 [8 per cell]
La2 0.2417 0.5000 0.2239 [4 per cell]
Ga1 0.0000 0.0000 0.0000 [2 per cell]
Se1 0.0000 0.3330 0.0000 [4 per cell]
Br1 0.0000 0.1645 0.5000 [4 per cell]
Br2 0.0000 0.5000 0.5000 [2 per cell]

## Properties
- Total magnetic moment: 0.00 μB/cell
- Density: 6.04 g/cm3
- ΔE_f (raw): -1451 meV/atom
- Total energy: -5.166 eV per atom


Computed, not measured: a relaxed LaGaSe2Br crystal at the GGA-PBE level of DFT.

Cell: 5.7453 5.7453 5.9055 Å, 90.00 90.00 90.00°
Space group P4/mmm (No. 123)
Unique sites:
La1 0.0000 0.0000 0.0000 [1 per cell]
Ga1 0.5000 0.5000 0.5000 [1 per cell]
Se1 0.0000 0.5000 0.0000 [2 per cell]
Br1 0.0000 0.0000 0.5000 [1 per cell]

## Properties
- Total magnetic moment: 0.09 μB/cell
- Energy relative to the lowest polymorph listed for this composition: 78 meV/atom
- Density: 3.80 g/cm3
- ΔE_f (raw): -809 meV/atom
- Total energy: -4.129 eV per atom


Computed, not measured: a relaxed La6Ga2SeBr3 crystal at the GGA-PBE level of DFT.

Cell: 7.6691 13.2677 7.6169 Å, 90.00 109.51 90.00°
Space group C2/m (No. 12)
Unique sites:
La1 0.2382 0.0000 0.2274 [4 per cell]
La2 0.2446 0.3318 0.2287 [8 per cell]
Ga1 0.0000 0.1670 0.0000 [4 per cell]
Se1 0.0000 0.5000 0.0000 [2 per cell]
Br1 0.0000 0.0000 0.5000 [2 per cell]
Br2 0.0000 0.3323 0.5000 [4 per cell]

## Properties
- Total magnetic moment: 0.00 μB/cell
- Density: 5.87 g/cm3
- ΔE_f (raw): -1221 meV/atom
- Total energy: -4.897 eV per atom


Computed, not measured: a relaxed LaGaSe2Br crystal at the GGA-PBE level of DFT.

Cell: 5.1239 5.1239 5.0279 Å, 90.00 90.00 90.00°
Space group P4/mmm (No. 123)
Unique sites:
La1 0.0000 0.0000 0.0000 [1 per cell]
Ga1 0.5000 0.5000 0.5000 [1 per cell]
Se1 0.0000 0.5000 0.5000 [2 per cell]
Br1 0.5000 0.5000 0.0000 [1 per cell]

## Properties
- Total magnetic moment: 0.24 μB/cell
- Energy relative to the lowest polymorph listed for this composition: 0 meV/atom
- Density: 5.62 g/cm3
- ΔE_f (raw): -887 meV/atom
- Total energy: -4.207 eV per atom


Computed, not measured: a relaxed LaGaSeBr2 crystal at the GGA-PBE level of DFT.

Cell: 5.8818 5.8818 5.7577 Å, 90.00 90.00 90.00°
Space group P4/mmm (No. 123)
Unique sites:
La1 0.0000 0.0000 0.0000 [1 per cell]
Ga1 0.5000 0.5000 0.5000 [1 per cell]
Se1 0.0000 0.0000 0.5000 [1 per cell]
Br1 0.0000 0.5000 0.0000 [2 per cell]

## Properties
- Total magnetic moment: 0.00 μB/cell
- Energy relative to the lowest polymorph listed for this composition: 0 meV/atom
- Density: 3.73 g/cm3
- ΔE_f (raw): -1162 meV/atom
- Total energy: -4.119 eV per atom


Computed, not measured: a relaxed La4GaSiBr2 crystal at the GGA-PBE level of DFT.

Cell: 7.6841 4.4159 7.7121 Å, 90.00 109.40 90.00°
Space group P2/m (No. 10)
Unique sites:
La1 0.2216 0.0000 0.2377 [2 per cell]
La2 0.2256 0.5000 0.7457 [2 per cell]
Ga1 0.0000 0.0000 0.5000 [1 per cell]
Si1 0.0000 0.5000 0.0000 [1 per cell]
Br1 0.5000 0.0000 0.0000 [1 per cell]
Br2 0.5000 0.5000 0.5000 [1 per cell]

## Properties
- Total magnetic moment: 0.00 μB/cell
- Density: 5.47 g/cm3
- ΔE_f (raw): -1050 meV/atom
- Total energy: -4.988 eV per atom